Version P
# LaTaSe | Alexandria via LeMat-Bulk | GGA-PBE | relaxed
# Total moment, μB per formula unit: 0.0
# Density of states at the Fermi level, states/eV/f.u.: 2.6
# Space group: F-43m (216)
data_LaTaSe
_chemical_formula_sum 'La4 Ta4 Se4'
_space_group_name_H-M_alt 'P 1'
_space_group_IT_number 1
_space_group_name_Hall 'P 1'
_cell_length_a 6.734
_cell_length_b 6.734
_cell_length_c 6.734
_cell_angle_alpha 90.00
_cell_angle_beta 90.00
_cell_angle_gamma 90.00
loop_
_atom_site_label
_atom_site_fract_x
_atom_site_fract_y
_atom_site_fract_z
La1 0.000 0.000 0.000
La2 0.000 0.500 0.500
La3 0.500 0.000 0.500
La4 0.500 0.500 0.000
Ta1 0.000 0.000 0.500
Ta2 0.000 0.500 0.000
Ta3 0.500 0.000 0.000
Ta4 0.500 0.500 0.500
Se1 0.250 0.250 0.750
Se2 0.250 0.750 0.250
Se3 0.750 0.250 0.250
Se4 0.750 0.750 0.750

Version Q
# LaTaSe | Alexandria via LeMat-Bulk | GGA-PBE | relaxed
# Total moment, μB per formula unit: 3.8
# Density of states at the Fermi level, states/eV/f.u.: 2.8
# Space group: F-43m (216)
data_LaTaSe
_chemical_formula_sum 'La4 Ta4 Se4'
_space_group_name_H-M_alt 'P 1'
_space_group_IT_number 1
_space_group_name_Hall 'P 1'
_cell_length_a 7.244
_cell_length_b 7.244
_cell_length_c 7.244
_cell_angle_alpha 90.00
_cell_angle_beta 90.00
_cell_angle_gamma 90.00
loop_
_atom_site_label
_atom_site_fract_x
_atom_site_fract_y
_atom_site_fract_z
La1 0.000 0.000 0.000
La2 0.000 0.500 0.500
La3 0.500 0.000 0.500
La4 0.500 0.500 0.000
Ta1 0.250 0.250 0.250
Ta2 0.250 0.750 0.750
Ta3 0.750 0.250 0.750
Ta4 0.750 0.750 0.250
Se1 0.250 0.250 0.750
Se2 0.250 0.750 0.250
Se3 0.750 0.250 0.250
Se4 0.750 0.750 0.750

Which structure is most stable? version P, by 713 meV per atom over the runner-up.

Version P
# LaTaSe3 | Alexandria via LeMat-Bulk | GGA-PBE | relaxed
# Total moment, μB per formula unit: 0.0
# Density of states at the Fermi level, states/eV/f.u.: 1.5
# Space group: C2/m (12)
data_LaTaSe3
_chemical_formula_sum 'La2 Ta2 Se6'
_space_group_name_H-M_alt 'P 1'
_space_group_IT_number 1
_space_group_name_Hall 'P 1'
_cell_length_a 11.178
_cell_length_b 11.178
_cell_length_c 6.143
_cell_angle_alpha 100.00
_cell_angle_beta 100.00
_cell_angle_gamma 19.20
loop_
_atom_site_label
_atom_site_fract_x
_atom_site_fract_y
_atom_site_fract_z
La1 0.074 0.074 0.181
La2 0.926 0.926 0.819
Ta1 0.253 0.253 0.189
Ta2 0.747 0.747 0.811
Se1 0.167 0.167 0.840
Se2 0.312 0.312 0.627
Se3 0.467 0.467 0.220
Se4 0.533 0.533 0.780
Se5 0.688 0.688 0.373
Se6 0.833 0.833 0.160

Version Q
# LaTaSe3 | Alexandria via LeMat-Bulk | GGA-PBE | relaxed
# Total moment, μB per formula unit: 0.0
# Density of states at the Fermi level, states/eV/f.u.: 15.9
# Space group: Pm-3m (221)
data_LaTaSe3
_chemical_formula_sum 'La1 Ta1 Se3'
_space_group_name_H-M_alt 'P 1'
_space_group_IT_number 1
_space_group_name_Hall 'P 1'
_cell_length_a 5.581
_cell_length_b 5.581
_cell_length_c 5.581
_cell_angle_alpha 90.00
_cell_angle_beta 90.00
_cell_angle_gamma 90.00
loop_
_atom_site_label
_atom_site_fract_x
_atom_site_fract_y
_atom_site_fract_z
La1 0.000 0.000 0.000
Ta1 0.500 0.500 0.500
Se1 0.000 0.000 0.500
Se2 0.000 0.500 0.000
Se3 0.500 0.000 0.000

Version R
# LaTaSe3 | Alexandria via LeMat-Bulk | GGA-PBE | relaxed
# Total moment, μB per formula unit: 0.0
# Density of states at the Fermi level, states/eV/f.u.: 4.2
# Space group: Pm-3m (221)
data_LaTaSe3
_chemical_formula_sum 'La1 Ta1 Se3'
_space_group_name_H-M_alt 'P 1'
_space_group_IT_number 1
_space_group_name_Hall 'P 1'
_cell_length_a 5.024
_cell_length_b 5.024
_cell_length_c 5.024
_cell_angle_alpha 90.00
_cell_angle_beta 90.00
_cell_angle_gamma 90.00
loop_
_atom_site_label
_atom_site_fract_x
_atom_site_fract_y
_atom_site_fract_z
La1 0.000 0.000 0.000
Ta1 0.500 0.500 0.500
Se1 0.000 0.500 0.500
Se2 0.500 0.000 0.500
Se3 0.500 0.500 0.000

Version S
# LaTaSe3 | Alexandria via LeMat-Bulk | GGA-PBE | relaxed
# Total moment, μB per formula unit: 0.0
# Density of states at the Fermi level, states/eV/f.u.: 2.5
# Space group: C2/m (12)
data_LaTaSe3
_chemical_formula_sum 'La2 Ta2 Se6'
_space_group_name_H-M_alt 'P 1'
_space_group_IT_number 1
_space_group_name_Hall 'P 1'
_cell_length_a 7.822
_cell_length_b 7.822
_cell_length_c 8.552
_cell_angle_alpha 93.96
_cell_angle_beta 93.96
_cell_angle_gamma 28.01
loop_
_atom_site_label
_atom_site_fract_x
_atom_site_fract_y
_atom_site_fract_z
La1 0.103 0.103 0.393
La2 0.897 0.897 0.607
Ta1 0.292 0.292 0.122
Ta2 0.708 0.708 0.878
Se1 0.125 0.125 0.025
Se2 0.249 0.249 0.670
Se3 0.442 0.442 0.329
Se4 0.558 0.558 0.671
Se5 0.751 0.751 0.330
Se6 0.875 0.875 0.975

Which structure is most stable? version S, by 91 meV per atom over the runner-up.

Version P
# LaTaSe4 | Alexandria via LeMat-Bulk | GGA-PBE | relaxed
# Total moment, μB per formula unit: 3.4
# Density of states at the Fermi level, states/eV/f.u.: 5.0
# Space group: F-43m (216)
data_LaTaSe4
_chemical_formula_sum 'La1 Ta1 Se4'
_space_group_name_H-M_alt 'P 1'
_space_group_IT_number 1
_space_group_name_Hall 'P 1'
_cell_length_a 5.798
_cell_length_b 5.798
_cell_length_c 5.798
_cell_angle_alpha 60.00
_cell_angle_beta 60.00
_cell_angle_gamma 60.00
loop_
_atom_site_label
_atom_site_fract_x
_atom_site_fract_y
_atom_site_fract_z
La1 0.000 0.000 0.000
Ta1 0.250 0.250 0.250
Se1 0.127 0.624 0.624
Se2 0.624 0.127 0.624
Se3 0.624 0.624 0.127
Se4 0.624 0.624 0.624

Version Q
# LaTaSe4 | Alexandria via LeMat-Bulk | GGA-PBE | relaxed
# Total moment, μB per formula unit: 0.0
# Space group: C2/c (15)
data_LaTaSe4
_chemical_formula_sum 'La2 Ta2 Se8'
_space_group_name_H-M_alt 'P 1'
_space_group_IT_number 1
_space_group_name_Hall 'P 1'
_cell_length_a 9.660
_cell_length_b 9.660
_cell_length_c 6.813
_cell_angle_alpha 104.72
_cell_angle_beta 104.72
_cell_angle_gamma 129.49
loop_
_atom_site_label
_atom_site_fract_x
_atom_site_fract_y
_atom_site_fract_z
La1 0.079 0.921 0.750
La2 0.921 0.079 0.250
Ta1 0.421 0.579 0.250
Ta2 0.579 0.421 0.750
Se1 0.090 0.436 0.196
Se2 0.245 0.330 0.782
Se3 0.330 0.245 0.282
Se4 0.436 0.090 0.696
Se5 0.564 0.910 0.304
Se6 0.670 0.755 0.718
Se7 0.755 0.670 0.218
Se8 0.910 0.564 0.804

Which structure is most stable? version Q, by 1513 meV per atom over the runner-up.

Version P
# La3TbSe6 | Alexandria via LeMat-Bulk | GGA-PBE | relaxed
# Total moment, μB per formula unit: 0.0
# Density of states at the Fermi level, states/eV/f.u.: 0.0
# Space group: R-3 (148)
data_La3TbSe6
_chemical_formula_sum 'La6 Tb2 Se12'
_space_group_name_H-M_alt 'P 1'
_space_group_IT_number 1
_space_group_name_Hall 'P 1'
_cell_length_a 8.716
_cell_length_b 8.716
_cell_length_c 8.716
_cell_angle_alpha 91.44
_cell_angle_beta 91.44
_cell_angle_gamma 91.44
loop_
_atom_site_label
_atom_site_fract_x
_atom_site_fract_y
_atom_site_fract_z
La1 0.070 0.578 0.749
La2 0.251 0.930 0.422
La3 0.422 0.251 0.930
La4 0.578 0.749 0.070
La5 0.749 0.070 0.578
La6 0.930 0.422 0.251
Tb1 0.000 0.000 0.000
Tb2 0.500 0.500 0.500
Se1 0.040 0.912 0.688
Se2 0.088 0.312 0.960
Se3 0.191 0.585 0.422
Se4 0.312 0.960 0.088
Se5 0.415 0.578 0.809
Se6 0.422 0.191 0.585
Se7 0.578 0.809 0.415
Se8 0.585 0.422 0.191
Se9 0.688 0.040 0.912
Se10 0.809 0.415 0.578
Se11 0.912 0.688 0.040
Se12 0.960 0.088 0.312

Version Q
# La3TbSe6 | Alexandria via LeMat-Bulk | GGA-PBE | relaxed
# Total moment, μB per formula unit: 0.0
# Space group: C2/m (12)
data_La3TbSe6
_chemical_formula_sum 'La3 Tb1 Se6'
_space_group_name_H-M_alt 'P 1'
_space_group_IT_number 1
_space_group_name_Hall 'P 1'
_cell_length_a 7.651
_cell_length_b 7.651
_cell_length_c 7.483
_cell_angle_alpha 117.96
_cell_angle_beta 117.96
_cell_angle_gamma 60.75
loop_
_atom_site_label
_atom_site_fract_x
_atom_site_fract_y
_atom_site_fract_z
La1 0.000 0.000 0.000
La2 0.249 0.249 0.700
La3 0.751 0.751 0.300
Tb1 0.500 0.500 0.500
Se1 0.164 0.660 0.656
Se2 0.258 0.258 0.103
Se3 0.340 0.836 0.344
Se4 0.660 0.164 0.656
Se5 0.742 0.742 0.897
Se6 0.836 0.340 0.344

Which structure is most stable? version P, by 115 meV per atom over the runner-up.

Version P
# La2TbSe4 | Alexandria via LeMat-Bulk | GGA-PBE | relaxed
# Total moment, μB per formula unit: 0.0
# Density of states at the Fermi level, states/eV/f.u.: 2.3
# Space group: Imma (74)
data_La2TbSe4
_chemical_formula_sum 'La4 Tb2 Se8'
_space_group_name_H-M_alt 'P 1'
_space_group_IT_number 1
_space_group_name_Hall 'P 1'
_cell_length_a 8.415
_cell_length_b 8.415
_cell_length_c 8.415
_cell_angle_alpha 120.22
_cell_angle_beta 118.69
_cell_angle_gamma 90.95
loop_
_atom_site_label
_atom_site_fract_x
_atom_site_fract_y
_atom_site_fract_z
La1 0.000 0.000 0.000
La2 0.500 0.000 0.000
La3 0.500 0.000 0.500
La4 0.500 0.500 0.500
Tb1 0.000 0.000 0.500
Tb2 0.000 0.500 0.000
Se1 0.233 0.743 0.490
Se2 0.245 0.244 0.499
Se3 0.245 0.746 0.001
Se4 0.247 0.257 0.990
Se5 0.753 0.743 0.010
Se6 0.755 0.254 0.999
Se7 0.755 0.756 0.501
Se8 0.767 0.257 0.510

Version Q
# La2TbSe4 | Alexandria via LeMat-Bulk | GGA-PBE | relaxed
# Total moment, μB per formula unit: 0.0
# Density of states at the Fermi level, states/eV/f.u.: 2.3
# Space group: Cmcm (63)
data_La2TbSe4
_chemical_formula_sum 'La4 Tb2 Se8'
_space_group_name_H-M_alt 'P 1'
_space_group_IT_number 1
_space_group_name_Hall 'P 1'
_cell_length_a 7.423
_cell_length_b 7.423
_cell_length_c 14.206
_cell_angle_alpha 90.00
_cell_angle_beta 90.00
_cell_angle_gamma 148.18
loop_
_atom_site_label
_atom_site_fract_x
_atom_site_fract_y
_atom_site_fract_z
La1 0.130 0.870 0.573
La2 0.130 0.870 0.927
La3 0.870 0.130 0.073
La4 0.870 0.130 0.427
Tb1 0.372 0.628 0.750
Tb2 0.628 0.372 0.250
Se1 0.017 0.983 0.750
Se2 0.219 0.781 0.126
Se3 0.219 0.781 0.374
Se4 0.500 0.500 0.000
Se5 0.500 0.500 0.500
Se6 0.781 0.219 0.626
Se7 0.781 0.219 0.874
Se8 0.983 0.017 0.250

Which structure is most stable? version P, by 24 meV per atom over the runner-up.

Version P
# La4Tb3Se8 | Alexandria via LeMat-Bulk | GGA-PBE | relaxed
# Total moment, μB per formula unit: 0.0
# Density of states at the Fermi level, states/eV/f.u.: 8.5
# Space group: R-3m (166)
data_La4Tb3Se8
_chemical_formula_sum 'La4 Tb3 Se8'
_space_group_name_H-M_alt 'P 1'
_space_group_IT_number 1
_space_group_name_Hall 'P 1'
_cell_length_a 9.147
_cell_length_b 9.147
_cell_length_c 9.147
_cell_angle_alpha 53.41
_cell_angle_beta 53.41
_cell_angle_gamma 53.41
loop_
_atom_site_label
_atom_site_fract_x
_atom_site_fract_y
_atom_site_fract_z
La1 0.000 0.000 0.000
La2 0.148 0.148 0.148
La3 0.500 0.500 0.500
La4 0.852 0.852 0.852
Tb1 0.000 0.500 0.500
Tb2 0.500 0.000 0.500
Tb3 0.500 0.500 0.000
Se1 0.250 0.250 0.734
Se2 0.250 0.734 0.250
Se3 0.266 0.750 0.750
Se4 0.270 0.270 0.270
Se5 0.730 0.730 0.730
Se6 0.734 0.250 0.250
Se7 0.750 0.266 0.750
Se8 0.750 0.750 0.266

Version Q
# La4Tb3Se8 | Alexandria via LeMat-Bulk | GGA-PBE | relaxed
# Total moment, μB per formula unit: 0.0
# Density of states at the Fermi level, states/eV/f.u.: 8.1
# Space group: C2/m (12)
data_La4Tb3Se8
_chemical_formula_sum 'La4 Tb3 Se8'
_space_group_name_H-M_alt 'P 1'
_space_group_IT_number 1
_space_group_name_Hall 'P 1'
_cell_length_a 8.411
_cell_length_b 8.411
_cell_length_c 8.376
_cell_angle_alpha 119.81
_cell_angle_beta 119.81
_cell_angle_gamma 90.05
loop_
_atom_site_label
_atom_site_fract_x
_atom_site_fract_y
_atom_site_fract_z
La1 0.000 0.000 0.000
La2 0.000 0.500 0.000
La3 0.500 0.000 0.000
La4 0.500 0.500 0.500
Tb1 0.000 0.500 0.500
Tb2 0.500 0.000 0.500
Tb3 0.500 0.500 0.000
Se1 0.244 0.756 0.500
Se2 0.249 0.249 0.511
Se3 0.251 0.251 0.990
Se4 0.255 0.745 0.000
Se5 0.745 0.255 0.000
Se6 0.749 0.749 0.010
Se7 0.751 0.751 0.489
Se8 0.756 0.244 0.500

Which structure is most stable? version Q, by 199 meV per atom over the runner-up.